This record from the Alexandria database describes a relaxed structure of LiTbEuHg. The functional is PBE.

Its formation energy is -0.21 eV/atom. Its total magnetization is 7.14 μB/f.u. The volume is 109.30 Å³/cell.

abc: 5.367 5.367 5.367
angles: 60.00 60.00 60.00
Last column: magnetic moment on the atom in μB.
Atoms (fractional coordinates):
1 Hg 0.500 0.500 0.500  0.00
2 Li 0.000 0.000 0.000  -0.01
3 Tb 0.750 0.750 0.750  -0.03
4 Eu 0.250 0.250 0.250  -6.84